*P*
Material: Y2LuAg
Method: DFT, GGA-PBE
State: optimized geometry

Properties
D(E_F), states/eV/cell: 5.19
Total magnetization, Bohr magnetons per cell: 0.00
V, Å³ per atom: 27.2

a = 5.358 Å, b = 5.358 Å, c = 3.795 Å
α = 90.00°, β = 90.00°, γ = 90.00°
Fractional positions:
Y1 0.000 0.500 0.000
Y2 0.500 0.000 0.000
Lu1 0.000 0.000 0.500
Ag1 0.500 0.500 0.500

*Q*
Material: Y2LuAg
Method: DFT, GGA-PBE
State: optimized geometry

Properties
D(E_F), states/eV/cell: 4.89
Total magnetization, Bohr magnetons per cell: 0.00
V, Å³ per atom: 27.8

a = 3.552 Å, b = 3.552 Å, c = 8.812 Å
α = 90.00°, β = 90.00°, γ = 90.00°
Fractional positions:
Y1 0.000 0.000 0.219
Y2 0.000 0.000 0.781
Lu1 0.500 0.500 0.500
Ag1 0.500 0.500 0.000

Best to worst by energy: *Q*, *P*.

*P*
Material: YLuAg2
Method: DFT, GGA-PBE
State: optimized geometry

Properties
D(E_F), states/eV/cell: 2.42
Total magnetization, Bohr magnetons per cell: 0.00
V, Å³ per atom: 23.4

a = 3.575 Å, b = 3.575 Å, c = 7.313 Å
α = 90.00°, β = 90.00°, γ = 90.00°
Fractional positions:
Y1 0.000 0.000 0.000
Lu1 0.000 0.000 0.500
Ag1 0.500 0.500 0.264
Ag2 0.500 0.500 0.736

*Q*
Material: YLuAg2
Method: DFT, GGA-PBE
State: optimized geometry

Properties
D(E_F), states/eV/cell: 2.64
Total magnetization, Bohr magnetons per cell: 0.00
V, Å³ per atom: 23.4

a = 5.100 Å, b = 5.100 Å, c = 5.100 Å
α = 60.00°, β = 60.00°, γ = 60.00°
Fractional positions:
Y1 0.000 0.000 0.000
Lu1 0.500 0.500 0.500
Ag1 0.250 0.250 0.250
Ag2 0.750 0.750 0.750

Best to worst by energy: *P*, *Q*.

*P*
Material: Mg2Ag5
Method: DFT, GGA-PBE
State: optimized geometry

Properties
D(E_F), states/eV/cell: 3.45
Total magnetization, Bohr magnetons per cell: 0.00
V, Å³ per atom: 18.8

a = 7.882 Å, b = 7.882 Å, c = 7.882 Å
α = 126.52°, β = 71.03°, γ = 136.89°
Fractional positions:
Mg1 0.109 0.198 0.307
Mg2 0.391 0.698 0.089
Mg3 0.609 0.302 0.911
Mg4 0.891 0.802 0.693
Ag1 0.022 0.750 0.272
Ag2 0.116 0.792 0.908
Ag3 0.250 0.750 0.500
Ag4 0.384 0.292 0.677
Ag5 0.478 0.750 0.728
Ag6 0.522 0.250 0.272
Ag7 0.616 0.708 0.323
Ag8 0.750 0.250 0.500
Ag9 0.884 0.208 0.092
Ag10 0.978 0.250 0.728

*Q*
Material: Mg2Ag5
Method: DFT, GGA-PBE
State: optimized geometry

Properties
D(E_F), states/eV/cell: 3.52
Total magnetization, Bohr magnetons per cell: 0.00
V, Å³ per atom: 18.1

a = 7.075 Å, b = 7.075 Å, c = 7.686 Å
α = 94.04°, β = 94.04°, γ = 41.45°
Fractional positions:
Mg1 0.109 0.735 0.896
Mg2 0.265 0.891 0.604
Mg3 0.735 0.109 0.396
Mg4 0.891 0.265 0.104
Ag1 0.036 0.390 0.819
Ag2 0.179 0.540 0.538
Ag3 0.317 0.683 0.250
Ag4 0.390 0.036 0.319
Ag5 0.460 0.821 0.962
Ag6 0.540 0.179 0.038
Ag7 0.610 0.964 0.681
Ag8 0.683 0.317 0.750
Ag9 0.821 0.460 0.462
Ag10 0.964 0.610 0.181

Best to worst by energy: *Q*, *P*.

*P*
Material: Mg5Ag3
Method: DFT, GGA-PBE
State: optimized geometry

Properties
D(E_F), states/eV/cell: 2.28
Total magnetization, Bohr magnetons per cell: 0.00
V, Å³ per atom: 19.3

a = 7.689 Å, b = 7.661 Å, c = 4.729 Å
α = 72.38°, β = 71.73°, γ = 35.89°
Fractional positions:
Mg1 0.000 0.000 0.000
Mg2 0.132 0.132 0.368
Mg3 0.368 0.368 0.132
Mg4 0.632 0.632 0.868
Mg5 0.868 0.868 0.632
Ag1 0.246 0.246 0.754
Ag2 0.500 0.500 0.500
Ag3 0.754 0.754 0.246

*Q*
Material: Mg5Ag3
Method: DFT, GGA-PBE
State: optimized geometry

Properties
D(E_F), states/eV/cell: 6.08
Total magnetization, Bohr magnetons per cell: 0.00
V, Å³ per atom: 20.2

a = 8.099 Å, b = 8.099 Å, c = 5.676 Å
α = 90.00°, β = 90.00°, γ = 120.00°
Fractional positions:
Mg1 0.000 0.242 0.250
Mg2 0.000 0.758 0.750
Mg3 0.242 0.000 0.250
Mg4 0.242 0.242 0.750
Mg5 0.333 0.667 0.000
Mg6 0.333 0.667 0.500
Mg7 0.667 0.333 0.000
Mg8 0.667 0.333 0.500
Mg9 0.758 0.000 0.750
Mg10 0.758 0.758 0.250
Ag1 0.000 0.399 0.750
Ag2 0.000 0.601 0.250
Ag3 0.399 0.000 0.750
Ag4 0.399 0.399 0.250
Ag5 0.601 0.000 0.250
Ag6 0.601 0.601 0.750

Best to worst by energy: *P*, *Q*.

*P*
Material: Mg3Ag8
Method: DFT, GGA-PBE
State: optimized geometry

Properties
D(E_F), states/eV/cell: 2.79
Total magnetization, Bohr magnetons per cell: 0.00
V, Å³ per atom: 21.5

a = 6.203 Å, b = 6.203 Å, c = 6.203 Å
α = 94.72°, β = 94.72°, γ = 94.72°
Fractional positions:
Mg1 0.000 0.500 0.500
Mg2 0.500 0.000 0.500
Mg3 0.500 0.500 0.000
Ag1 0.058 0.688 0.916
Ag2 0.084 0.942 0.312
Ag3 0.312 0.084 0.942
Ag4 0.360 0.360 0.360
Ag5 0.640 0.640 0.640
Ag6 0.688 0.916 0.058
Ag7 0.916 0.058 0.688
Ag8 0.942 0.312 0.084

*Q*
Material: Mg3Ag8
Method: DFT, GGA-PBE
State: optimized geometry

Properties
D(E_F), states/eV/cell: 2.64
Total magnetization, Bohr magnetons per cell: 0.00
V, Å³ per atom: 18.0

a = 5.149 Å, b = 5.149 Å, c = 10.865 Å
α = 104.17°, β = 104.17°, γ = 45.59°
Fractional positions:
Mg1 0.000 0.000 0.000
Mg2 0.097 0.097 0.642
Mg3 0.903 0.903 0.358
Ag1 0.180 0.180 0.273
Ag2 0.275 0.275 0.911
Ag3 0.368 0.368 0.546
Ag4 0.454 0.454 0.181
Ag5 0.546 0.546 0.819
Ag6 0.632 0.632 0.454
Ag7 0.725 0.725 0.089
Ag8 0.820 0.820 0.727

Best to worst by energy: *Q*, *P*.

*P*
Material: Mg2Ag13
Method: DFT, GGA-PBE
State: optimized geometry

Properties
D(E_F), states/eV/cell: 5.51
Total magnetization, Bohr magnetons per cell: 0.00
V, Å³ per atom: 21.6

a = 7.987 Å, b = 7.987 Å, c = 7.987 Å
α = 55.72°, β = 55.72°, γ = 55.72°
Fractional positions:
Mg1 0.132 0.132 0.132
Mg2 0.868 0.868 0.868
Ag1 0.000 0.000 0.000
Ag2 0.113 0.113 0.496
Ag3 0.113 0.496 0.113
Ag4 0.256 0.256 0.632
Ag5 0.256 0.632 0.256
Ag6 0.368 0.744 0.744
Ag7 0.496 0.113 0.113
Ag8 0.504 0.887 0.887
Ag9 0.632 0.256 0.256
Ag10 0.744 0.368 0.744
Ag11 0.744 0.744 0.368
Ag12 0.887 0.504 0.887
Ag13 0.887 0.887 0.504

*Q*
Material: Mg2Ag13
Method: DFT, GGA-PBE
State: optimized geometry

Properties
D(E_F), states/eV/cell: 3.43
Total magnetization, Bohr magnetons per cell: 0.00
V, Å³ per atom: 23.5

a = 8.153 Å, b = 8.153 Å, c = 8.153 Å
α = 56.54°, β = 56.54°, γ = 56.54°
Fractional positions:
Mg1 0.233 0.233 0.233
Mg2 0.767 0.767 0.767
Ag1 0.000 0.000 0.000
Ag2 0.016 0.016 0.644
Ag3 0.016 0.644 0.016
Ag4 0.234 0.234 0.599
Ag5 0.234 0.599 0.234
Ag6 0.356 0.984 0.984
Ag7 0.401 0.766 0.766
Ag8 0.599 0.234 0.234
Ag9 0.644 0.016 0.016
Ag10 0.766 0.401 0.766
Ag11 0.766 0.766 0.401
Ag12 0.984 0.356 0.984
Ag13 0.984 0.984 0.356

Best to worst by energy: *Q*, *P*.